Entry 1:
## In2SbMo (PBEsol)

Data for an optimized crystal structure of In2SbMo.

Output
DFT total energy = -20.166 eV for the cell shown
crystal system = tetragonal
D(E_F) = 3.15 states/eV/f.u.
formation energy without anion corrections = 0.531 eV/atom

Unit cell a=4.7731 b=4.7731 c=3.6394 alpha=90.00 beta=90.00 gamma=90.00
Closest atoms and distances in Å follow each position.
Space group P4/mmm (No. 123)
Unique sites:
In: 0.0000 0.5000 0.0000 (multiplicity 2)  4 Mo 3.00, 4 Sb 3.00
Sb: 0.0000 0.0000 0.5000 (multiplicity 1)  8 In 3.00
Mo: 0.5000 0.5000 0.5000 (multiplicity 1)  8 In 3.00

Entry 2:
## RbY3Cr (PBEsol)

Data for an optimized crystal structure of RbY3Cr.

Output
energy relative to the elements = 1.63 eV per atom
DFT total energy = -23.583 eV for the cell shown
crystal system = cubic
D(E_F) = 2.84 states/eV/f.u.

Unit cell a=5.3105 b=5.3105 c=5.3105 alpha=90.00 beta=90.00 gamma=90.00
Closest atoms and distances in Å follow each position.
Space group Pm-3m (No. 221)
Unique sites:
Rb: 0.0000 0.0000 0.0000 (multiplicity 1)  6 Y 2.66
Y: 0.0000 0.0000 0.5000 (multiplicity 3)  2 Rb 2.66
Cr: 0.5000 0.5000 0.5000 (multiplicity 1)  12 Y 3.76

Entry 3:
## ReAgHg2 (PBEsol)

Data for an optimized crystal structure of ReAgHg2.

Output
energy relative to the elements = 0.66 eV per atom
DFT total energy = -30.254 eV for the cell shown
crystal system = monoclinic
D(E_F) = 2.18 states/eV/f.u.
offset from the most stable computed form = 70.9 kJ/mol of formula units

Unit cell a=9.4332 b=2.8164 c=5.3893 alpha=90.00 beta=98.90 gamma=90.00
Closest atoms and distances in Å follow each position.
Space group C2/m (No. 12)
Unique sites:
Re: 0.0000 0.0000 0.0000 (multiplicity 2)  2 Re 2.82, 6 Hg 2.87-2.89, 4 Ag 3.04
Ag: 0.0000 0.5000 0.5000 (multiplicity 2)  2 Ag 2.82, 6 Hg 2.89-2.92, 4 Re 3.04
Hg: 0.2479 0.5000 0.2441 (multiplicity 4)  6 Hg 2.82-3.09, 3 Re 2.87-2.89, 3 Ag 2.89-2.92

Entry 4:
## Tb6RuBr10 (PBEsol)

Data for an optimized crystal structure of Tb6RuBr10.

Output
DFT total energy = -85.140 eV for the cell shown
crystal system = triclinic
D(E_F) = 6.17 states/eV/f.u.
formation energy without anion corrections = -1.542 eV/atom

Unit cell a=7.2529 b=8.9111 c=9.1464 alpha=108.17 beta=97.07 gamma=105.58
Closest atoms and distances in Å follow each position.
Space group P-1 (No. 2)
Unique sites:
Tb: 0.0312 0.2105 0.4130 (multiplicity 2)  1 Ru 2.53, 1 Br 2.83
Tb: 0.1280 0.5484 0.2472 (multiplicity 2)  1 Ru 2.71, 5 Br 2.85-3.00
Tb: 0.3733 0.6444 0.6846 (multiplicity 2)  1 Ru 2.74, 5 Br 2.75-2.99
Ru: 0.0000 0.5000 0.5000 (multiplicity 1)  6 Tb 2.53-2.74
Br: 0.0881 0.8719 0.3244 (multiplicity 2)  3 Tb 2.85-3.03
Br: 0.2048 0.2377 0.1488 (multiplicity 2)  3 Tb 2.86-2.99
Br: 0.2589 0.5837 0.9589 (multiplicity 2)  3 Tb 2.89-2.99
Br: 0.3534 0.9636 0.7758 (multiplicity 2)  2 Tb 2.75-2.83
Br: 0.4476 0.3193 0.5854 (multiplicity 2)  4 Tb 2.97-3.00

Entry 5:
## Pr5Te7WCl3O23 (PBEsol)

Data for an optimized crystal structure of Pr5Te7WCl3O23.

Output
DFT total energy = -1075.890 eV for the cell shown
crystal system = monoclinic
D(E_F) = 0.00 states/eV/f.u.
formation energy without anion corrections = -1.995 eV/atom

Unit cell a=7.6528 b=18.1125 c=18.2905 alpha=90.00 beta=96.89 gamma=90.00
Closest atoms and distances in Å follow each position.
Space group C2 (No. 5)
Unique sites:
Pr: 0.0000 0.0000 0.0000 (multiplicity 2)  8 O 2.38-2.64
Pr: 0.0000 0.4872 0.0000 (multiplicity 2)  6 O 2.35-2.46
Pr: 0.0574 0.0009 0.2371 (multiplicity 4)  8 O 2.39-2.67
Pr: 0.0584 0.4833 0.2366 (multiplicity 4)  8 O 2.39-2.66
Pr: 0.1362 0.6316 0.6372 (multiplicity 4)  7 O 2.36-2.52
Pr: 0.1358 0.8549 0.6374 (multiplicity 4)  7 O 2.36-2.52
Te: 0.0008 0.2447 0.7374 (multiplicity 4)  3 O 1.90-1.92
Te: 0.1300 0.0759 0.6096 (multiplicity 4)  3 O 1.87-1.91
Te: 0.1307 0.4107 0.6091 (multiplicity 4)  3 O 1.88-1.91
Te: 0.2171 0.6261 0.1156 (multiplicity 4)  3 O 1.89-1.98
Te: 0.2184 0.8610 0.1133 (multiplicity 4)  3 O 1.89-1.99
Te: 0.2406 0.6381 0.8583 (multiplicity 4)  2 O 1.88-1.91
Te: 0.2437 0.8487 0.8604 (multiplicity 4)  2 O 1.88-1.93
W: 0.2329 0.7432 0.4764 (multiplicity 4)  4 O 1.76-1.85
Cl: 0.0000 0.2810 0.0000 (multiplicity 2)  4 Te 3.27-3.48, 6 O 3.31-3.54
Cl: 0.0000 0.5430 0.5000 (multiplicity 2)  4 O 3.02-3.18, 2 Pr 3.06, 2 Te 3.20
Cl: 0.0000 0.7431 0.0000 (multiplicity 2)  4 Te 3.29-3.30, 4 O 3.54-3.57
Cl: 0.0000 0.9434 0.5000 (multiplicity 2)  4 O 3.02-3.18, 2 Pr 3.06, 2 Te 3.21
Cl: 0.0626 0.7432 0.2099 (multiplicity 4)  5 Te 3.06-3.36, 5 O 3.24-3.42
O: 0.0091 0.7432 0.4252 (multiplicity 4)  1 W 1.85
O: 0.0199 0.5811 0.8904 (multiplicity 4)  2 Te 1.98-2.12
O: 0.0209 0.9047 0.8922 (multiplicity 4)  2 Te 1.99-2.12
O: 0.0290 0.3200 0.1910 (multiplicity 4)  2 Te 1.92-2.14
O: 0.0299 0.1714 0.1891 (multiplicity 4)  2 Te 1.92-2.14
O: 0.0410 0.1063 0.3285 (multiplicity 4)  1 Te 1.91
O: 0.0407 0.3796 0.3295 (multiplicity 4)  1 Te 1.91
O: 0.1101 0.0582 0.1134 (multiplicity 4)  1 Te 1.88
O: 0.1143 0.4315 0.1136 (multiplicity 4)  1 Te 1.88
O: 0.1165 0.2435 0.5893 (multiplicity 4)  1 W 1.76
O: 0.1562 0.8775 0.3402 (multiplicity 4)  1 Te 1.88
O: 0.1565 0.6097 0.3408 (multiplicity 4)  1 Te 1.87
O: 0.1577 0.5009 0.6636 (multiplicity 4)  1 Te 1.91
O: 0.1588 0.9854 0.6636 (multiplicity 4)  1 Te 1.91
O: 0.1700 0.8959 0.7673 (multiplicity 4)  1 Te 1.93
O: 0.1707 0.5906 0.7664 (multiplicity 4)  1 Te 1.91
O: 0.2162 0.0572 0.8083 (multiplicity 4)  1 Te 1.89
O: 0.2179 0.4295 0.8096 (multiplicity 4)  1 Te 1.90
O: 0.2209 0.1610 0.4706 (multiplicity 4)  1 W 1.79
O: 0.2216 0.3254 0.4707 (multiplicity 4)  1 W 1.79
O: 0.2358 0.2435 0.3073 (multiplicity 4)  1 Te 1.90
O: 0.2440 0.0681 0.9669 (multiplicity 4)  1 Te 1.89
O: 0.2461 0.4239 0.9657 (multiplicity 4)  1 Te 1.89

Entry 6:
## LiGaHg2Te (PBEsol)

Data for an optimized crystal structure of LiGaHg2Te.

Output
DFT total energy = -9.307 eV for the cell shown
crystal system = tetragonal
D(E_F) = 2.67 states/eV/f.u.
formation energy without anion corrections = 0.132 eV/atom

Unit cell a=4.8477 b=4.8477 c=5.1324 alpha=90.00 beta=90.00 gamma=90.00
Closest atoms and distances in Å follow each position.
Space group P4/mmm (No. 123)
Unique sites:
Li: 0.0000 0.0000 0.0000 (multiplicity 1)  4 Hg 2.42, 2 Ga 2.57
Ga: 0.0000 0.0000 0.5000 (multiplicity 1)  2 Li 2.57
Hg: 0.0000 0.5000 0.0000 (multiplicity 2)  2 Li 2.42
Te: 0.5000 0.5000 0.5000 (multiplicity 1)  4 Ga 3.43, 8 Hg 3.53

Entry 7:
## H2PtRh (PBEsol)

Data for an optimized crystal structure of H2PtRh.

Output
DFT total energy = -85.629 eV for the cell shown
crystal system = tetragonal
D(E_F) = 3.83 states/eV/f.u.

Unit cell a=4.2238 b=4.2238 c=8.0191 alpha=90.00 beta=90.00 gamma=90.00
Closest atoms and distances in Å follow each position.
Space group I-42d (No. 122)
Unique sites:
H: 0.2389 0.2500 0.1250 (multiplicity 8)  2 Rh 1.77, 2 Pt 1.83
Pt: 0.0000 0.0000 0.5000 (multiplicity 4)  4 H 1.83
Rh: 0.0000 0.0000 0.0000 (multiplicity 4)  4 H 1.77

Entry 8:
## Zn2RuBr (PBEsol)

Data for an optimized crystal structure of Zn2RuBr.

Output
DFT total energy = -29.057 eV for the cell shown
crystal system = orthorhombic
D(E_F) = 2.20 states/eV/f.u.
formation energy without anion corrections = 0.170 eV/atom
offset from the most stable computed form = 0.0 kJ/mol of formula units

Unit cell a=2.9403 b=4.1296 c=12.0387 alpha=90.00 beta=90.00 gamma=90.00
Closest atoms and distances in Å follow each position.
Space group Imm2 (No. 44)
Unique sites:
Zn: 0.0000 0.0000 0.0000 (multiplicity 2)  4 Ru 2.56, 2 Zn 2.66
Zn: 0.0000 0.5000 0.1399 (multiplicity 2)  2 Ru 2.53, 2 Zn 2.66
Ru: 0.0000 0.0000 0.4685 (multiplicity 2)  2 Br 2.52, 6 Zn 2.53-2.56
Br: 0.0000 0.5000 0.7984 (multiplicity 2)  2 Ru 2.52

Entry 9:
## Cd2SbAs (PBEsol)

Data for an optimized crystal structure of Cd2SbAs.

Output
DFT total energy = -23.214 eV for the cell shown
crystal system = orthorhombic
D(E_F) = 1.44 states/eV/f.u.
formation energy without anion corrections = 0.113 eV/atom
offset from the most stable computed form = 0.0 kJ/mol of formula units

Unit cell a=3.7695 b=4.3776 c=11.2769 alpha=90.00 beta=90.00 gamma=90.00
Closest atoms and distances in Å follow each position.
Space group Imm2 (No. 44)
Unique sites:
Cd: 0.0000 0.0000 0.0000 (multiplicity 2)  4 As 2.93, 2 Cd 3.00
Cd: 0.0000 0.5000 0.1821 (multiplicity 2)  2 Cd 3.00, 4 Sb 3.06, 2 As 3.16
Sb: 0.0000 0.5000 0.7706 (multiplicity 2)  2 As 2.83, 4 Cd 3.06
As: 0.0000 0.0000 0.4573 (multiplicity 2)  2 Sb 2.83, 6 Cd 2.93-3.16

Entry 10:
## AuIN2 (PBEsol)

Data for an optimized crystal structure of AuIN2.

Output
DFT total energy = -56.783 eV for the cell shown
crystal system = cubic
D(E_F) = 2.91 states/eV/f.u.
formation energy without anion corrections = 2.137 eV/atom
offset from the most stable computed form = 363.1 kJ/mol of formula units

Unit cell a=5.9385 b=5.9385 c=5.9385 alpha=90.00 beta=90.00 gamma=90.00
Closest atoms and distances in Å follow each position.
Space group Fm-3m (No. 225)
Unique sites:
Au: 0.0000 0.0000 0.0000 (multiplicity 4)  8 N 2.57
I: 0.0000 0.0000 0.5000 (multiplicity 4)  8 N 2.57
N: 0.2500 0.2500 0.2500 (multiplicity 8)  4 Au 2.57, 4 I 2.57

Entry 11:
## Hf2Co2Cu (PBEsol)

Data for an optimized crystal structure of Hf2Co2Cu.

Output
energy relative to the elements = -0.28 eV per atom
DFT total energy = -84.433 eV for the cell shown
crystal system = tetragonal
D(E_F) = 5.27 states/eV/f.u.

Unit cell a=6.5813 b=6.5813 c=3.3708 alpha=90.00 beta=90.00 gamma=90.00
Closest atoms and distances in Å follow each position.
Space group P4/mbm (No. 127)
Unique sites:
Hf: 0.1721 0.3279 0.0000 (multiplicity 4)  6 Co 2.49-2.63
Co: 0.1309 0.6309 0.5000 (multiplicity 4)  1 Co 2.44, 6 Hf 2.49-2.63, 2 Cu 2.58
Cu: 0.0000 0.0000 0.5000 (multiplicity 2)  4 Co 2.58

Entry 12:
## K2TlTc (PBEsol)

Data for an optimized crystal structure of K2TlTc.

Output
energy relative to the elements = 1.08 eV per atom
DFT total energy = -47.426 eV for the cell shown
crystal system = cubic
D(E_F) = 5.38 states/eV/f.u.
offset from the most stable computed form = 23.3 kJ/mol of formula units

Unit cell a=7.5882 b=7.5882 c=7.5882 alpha=90.00 beta=90.00 gamma=90.00
Closest atoms and distances in Å follow each position.
Space group F-43m (No. 216)
Unique sites:
K: 0.0000 0.0000 0.0000 (multiplicity 4)  4 K 3.29, 4 Tc 3.29
K: 0.2500 0.2500 0.2500 (multiplicity 4)  4 Tl 3.29, 4 K 3.29
Tl: 0.0000 0.0000 0.5000 (multiplicity 4)  4 K 3.29, 4 Tc 3.29
Tc: 0.2500 0.2500 0.7500 (multiplicity 4)  4 Tl 3.29, 4 K 3.29

Q: Which of these has the highest D(E_F)?
A: Tb6RuBr10